The following is a DFT calculation (GGA-PBE) of a relaxed structure of LiNiBiRh.

Properties
theoretical density: 10.09 g cm⁻³
energy of formation from the pure elements: -0.122 eV per atom
raw total energy: -4.85 eV per atom
total moment: 0.00 μB per formula unit

a = 6.288 Å, b = 6.288 Å, c = 6.288 Å
α = 90.00°, β = 90.00°, γ = 90.00°
Fractional coordinates of all 16 atoms:
Li  0.000  0.000  0.000
Li  0.000  0.500  0.500
Li  0.500  0.000  0.500
Li  0.500  0.500  0.000
Ni  0.250  0.250  0.750
Ni  0.250  0.750  0.250
Ni  0.750  0.250  0.250
Ni  0.750  0.750  0.750
Bi  0.000  0.000  0.500
Bi  0.000  0.500  0.000
Bi  0.500  0.000  0.000
Bi  0.500  0.500  0.500
Rh  0.250  0.250  0.250
Rh  0.250  0.750  0.750
Rh  0.750  0.250  0.750
Rh  0.750  0.750  0.250